Here is an optimized crystal structure of Rb2CrCl2F2 from Alexandria via LeMat-Bulk. Energies are from PBE with a Hubbard U.

Computed properties:
M_tot (μB/f.u.): 4.0
DOS(E_F) (states/eV/f.u.): 0.00
ρ (Mg/m³): 3.2
Space-group type: C2/m (12)
DFT total energy (eV/atom): -4.61

Unit cell a=4.0584 b=7.4317 c=6.9030 alpha=61.05 beta=72.90 gamma=90.02
Sites, in units of the cell vectors:
Rb 0.1810 0.7100 0.6376
Rb 0.8190 0.2900 0.3624
Cr 0.0000 0.0000 0.0000
Cl 0.5440 0.2733 0.9111
Cl 0.4560 0.7267 0.0889
F 0.1666 0.0737 0.6671
F 0.8334 0.9263 0.3329